1.
Here is LaNd2Y6Er3 after structural relaxation from Alexandria. Energies are from PBE.

```
data_LaNd2Y6Er3
_chemical_formula_sum 'La1 Nd2 Y6 Er3'
_symmetry_space_group_name_H-M 'P 1'
_symmetry_Int_Tables_number 1
_cell_length_a 6.221
_cell_length_b 6.221
_cell_length_c 11.867
_cell_angle_alpha 95.01
_cell_angle_beta 95.01
_cell_angle_gamma 119.96
loop_
_symmetry_equiv_pos_as_xyz
'x,y,z'
loop_
_atom_site_label
_atom_site_fract_x
_atom_site_fract_y
_atom_site_fract_z
Y1 0.914 0.580 0.745
Er1 0.500 0.500 0.500
La1 0.000 0.000 0.000
Er2 0.167 0.833 0.500
Y2 0.580 0.914 0.745
Nd1 0.333 0.667 0.000
Y3 0.248 0.248 0.745
Nd2 0.667 0.333 0.000
Y4 0.086 0.420 0.255
Y5 0.752 0.752 0.255
Y6 0.420 0.086 0.255
Er3 0.833 0.167 0.500
```

Results
Crystal system ... monoclinic
E_tot ... -5.5555 eV per atom

---

2.
Here is NpGaAu2 after structural relaxation from Alexandria. Energies are from PBE.

```
data_NpGaAu2
_chemical_formula_sum 'Np2 Ga2 Au4'
_symmetry_space_group_name_H-M 'P 1'
_symmetry_Int_Tables_number 1
_cell_length_a 6.607
_cell_length_b 4.146
_cell_length_c 6.210
_cell_angle_alpha 90.00
_cell_angle_beta 76.68
_cell_angle_gamma 90.00
loop_
_symmetry_equiv_pos_as_xyz
'x,y,z'
loop_
_atom_site_label
_atom_site_fract_x
_atom_site_fract_y
_atom_site_fract_z
Au1 0.326 0.250 0.394
Au2 0.391 0.250 0.897
Ga1 0.249 0.750 0.670
Np1 0.908 0.250 0.815
Ga2 0.751 0.250 0.330
Au3 0.674 0.750 0.606
Au4 0.609 0.750 0.103
Np2 0.092 0.750 0.185
```

Results
Crystal system ... monoclinic
E_tot ... -5.7764 eV per atom

---

Taking the records one at a time from the top gives total magnetization values of 0.0, 4.2 μB per formula unit.
Taking the records one at a time from the top gives energy relative to the elements values of 23, -146 meV per atom.